{"formula": "Dy2YSc7", "functional": "PBE", "state": "relaxed", "delta_e_f_mev_per_atom": 150.1, "polymorph_energy_kj_per_mol_atoms": 8.58, "e_tot_ev_per_atom": -5.849, "m_tot_mub_per_cell": 0.0, "lattice_angstrom": [[3.3302, 0.0000, 0.0000], [0.0000, 13.1302, -4.5300], [0.0000, -9.9665, 9.6743]], "species": ["Dy", "Dy", "Y", "Sc", "Sc", "Sc", "Sc", "Sc", "Sc", "Sc"], "fractional_positions": [[0.5000, 0.7108, 0.2892], [0.5000, 0.2892, 0.7108], [0.0000, 0.0000, 0.0000], [0.0000, 0.8179, 0.1821], [0.0000, 0.1821, 0.8179], [0.5000, 0.1483, 0.3458], [0.5000, 0.8517, 0.6542], [0.5000, 0.3458, 0.1483], [0.5000, 0.6542, 0.8517], [0.5000, 0.5000, 0.5000]]}

{"formula": "Dy5Y2Sc4", "functional": "PBE", "state": "relaxed", "delta_e_f_mev_per_atom": 114.0, "polymorph_energy_kj_per_mol_atoms": 0.00, "e_tot_ev_per_atom": -5.456, "m_tot_mub_per_cell": 0.0, "lattice_angstrom": [[3.5061, 0.0000, 0.0000], [0.0000, 8.6858, -0.1315], [0.0000, 1.1035, 10.7286]], "species": ["Dy", "Dy", "Dy", "Dy", "Dy", "Y", "Y", "Sc", "Sc", "Sc", "Sc"], "fractional_positions": [[0.0000, 0.4532, 0.3314], [0.0000, 0.8515, 0.1336], [0.0000, 0.5000, 0.0000], [0.0000, 0.1485, 0.8664], [0.0000, 0.5468, 0.6686], [0.0000, 0.9251, 0.6373], [0.0000, 0.0749, 0.3627], [0.5000, 0.2507, 0.5733], [0.5000, 0.7990, 0.8727], [0.5000, 0.7493, 0.4267], [0.5000, 0.2010, 0.1273]]}

{"formula": "DyY15Sc4", "functional": "PBE", "state": "relaxed", "delta_e_f_mev_per_atom": 44.7, "e_tot_ev_per_atom": -6.300, "m_tot_mub_per_cell": 0.0, "lattice_angstrom": [[4.9665, 0.0000, 0.0000], [0.0000, 4.9665, 0.0000], [0.0000, 0.0000, 24.7783]], "species": ["Dy", "Y", "Y", "Y", "Y", "Y", "Y", "Y", "Y", "Y", "Y", "Y", "Y", "Y", "Y", "Y", "Sc", "Sc", "Sc", "Sc"], "fractional_positions": [[0.0000, 0.0000, 0.0000], [0.5000, 0.5000, 0.0000], [0.5000, 0.5000, 0.2026], [0.5000, 0.5000, 0.4007], [0.5000, 0.5000, 0.5993], [0.5000, 0.5000, 0.7974], [0.5000, 0.0000, 0.1031], [0.5000, 0.0000, 0.3015], [0.5000, 0.0000, 0.5000], [0.5000, 0.0000, 0.6985], [0.5000, 0.0000, 0.8969], [0.0000, 0.5000, 0.1031], [0.0000, 0.5000, 0.3015], [0.0000, 0.5000, 0.5000], [0.0000, 0.5000, 0.6985], [0.0000, 0.5000, 0.8969], [0.0000, 0.0000, 0.2021], [0.0000, 0.0000, 0.4007], [0.0000, 0.0000, 0.5993], [0.0000, 0.0000, 0.7979]]}

{"formula": "Dy7YSc3", "functional": "PBE", "state": "relaxed", "delta_e_f_mev_per_atom": 157.1, "polymorph_energy_kj_per_mol_atoms": 0.00, "e_tot_ev_per_atom": -5.086, "m_tot_mub_per_cell": 0.0, "lattice_angstrom": [[9.1679, -2.5521, -1.1948], [-5.5538, 7.7278, -1.1948], [-1.4372, -2.0582, 12.6563]], "species": ["Dy", "Dy", "Dy", "Dy", "Dy", "Dy", "Dy", "Dy", "Dy", "Dy", "Dy", "Dy", "Dy", "Dy", "Y", "Y", "Sc", "Sc", "Sc", "Sc", "Sc", "Sc"], "fractional_positions": [[0.0958, 0.9141, 0.2496], [0.0859, 0.9042, 0.7504], [0.1227, 0.4483, 0.5365], [0.1214, 0.4469, 0.0370], [0.5531, 0.8786, 0.9630], [0.5517, 0.8773, 0.4635], [0.4922, 0.4922, 0.7493], [0.5078, 0.5078, 0.2507], [0.4469, 0.1214, 0.0370], [0.4483, 0.1227, 0.5365], [0.8786, 0.5531, 0.9630], [0.8773, 0.5517, 0.4635], [0.9141, 0.0958, 0.2496], [0.9042, 0.0859, 0.7504], [0.5000, 0.5000, 0.0000], [0.5000, 0.5000, 0.5000], [0.0001, 0.4969, 0.7499], [0.0000, 0.0000, 0.0000], [0.0000, 0.0000, 0.5000], [0.5031, 0.9999, 0.2501], [0.4969, 0.0001, 0.7499], [0.9999, 0.5031, 0.2501]]}

{"formula": "DyY2Sc8", "functional": "PBE", "state": "relaxed", "delta_e_f_mev_per_atom": 136.0, "e_tot_ev_per_atom": -6.062, "m_tot_mub_per_cell": 0.0, "lattice_angstrom": [[-5.3415, 0.0884, -1.3085], [-3.7176, 0.0539, -7.8957], [-1.9940, -8.0081, -3.9390]], "species": ["Dy", "Y", "Y", "Sc", "Sc", "Sc", "Sc", "Sc", "Sc", "Sc", "Sc"], "fractional_positions": [[0.5000, 0.0000, 0.0000], [0.0000, 0.3093, 0.3814], [0.0000, 0.6907, 0.6186], [0.7756, 0.0976, 0.2549], [0.7756, 0.3525, 0.7451], [0.2438, 0.4983, 0.0000], [0.5000, 0.7980, 0.4039], [0.5000, 0.2020, 0.5961], [0.7562, 0.5017, 0.0000], [0.2244, 0.6475, 0.2549], [0.2244, 0.9024, 0.7451]]}

{"formula": "Dy7Y2Sc2", "functional": "PBE", "state": "relaxed", "delta_e_f_mev_per_atom": 113.5, "polymorph_energy_kj_per_mol_atoms": 7.13, "e_tot_ev_per_atom": -5.142, "m_tot_mub_per_cell": 0.0, "lattice_angstrom": [[-6.9482, -4.2501, -1.9526], [2.7955, -4.9658, -3.0308], [-0.5722, -3.3683, 5.4760]], "species": ["Dy", "Dy", "Dy", "Dy", "Dy", "Dy", "Dy", "Y", "Y", "Sc", "Sc"], "fractional_positions": [[0.1962, 0.0911, 0.4613], [0.8038, 0.5387, 0.9089], [0.8038, 0.9089, 0.5387], [0.1962, 0.4613, 0.0911], [0.0000, 0.0000, 0.0000], [0.4123, 0.8401, 0.8401], [0.5877, 0.1599, 0.1599], [0.5000, 0.3200, 0.6800], [0.5000, 0.6800, 0.3200], [0.8536, 0.3935, 0.3935], [0.1464, 0.6065, 0.6065]]}

{"formula": "Dy3Y2Sc2", "functional": "PBE", "state": "relaxed", "delta_e_f_mev_per_atom": 238.9, "polymorph_energy_kj_per_mol_atoms": 1.35, "e_tot_ev_per_atom": -5.389, "m_tot_mub_per_cell": 0.0, "lattice_angstrom": [[-3.7697, 3.6833, -6.3098], [-4.1215, -6.8094, 2.0580], [0.2181, 5.1197, 6.4289]], "species": ["Dy", "Dy", "Dy", "Dy", "Dy", "Dy", "Y", "Y", "Y", "Y", "Sc", "Sc", "Sc", "Sc"], "fractional_positions": [[0.6844, 0.7500, 0.9344], [0.8156, 0.2500, 0.5656], [0.0656, 0.3156, 0.2500], [0.4344, 0.1844, 0.7500], [0.2500, 0.9344, 0.1844], [0.7500, 0.5656, 0.3156], [0.0000, 0.0000, 0.8034], [0.5000, 0.8034, 0.5000], [0.1966, 0.6966, 0.6966], [0.3034, 0.5000, 0.0000], [0.0000, 0.0000, 0.3988], [0.5000, 0.3988, 0.5000], [0.6012, 0.1012, 0.1012], [0.8988, 0.5000, 0.0000]]}

{"formula": "DyYSc2", "functional": "PBE", "state": "relaxed", "delta_e_f_mev_per_atom": 54.3, "polymorph_energy_kj_per_mol_atoms": 2.02, "e_tot_ev_per_atom": -5.878, "m_tot_mub_per_cell": 0.0, "lattice_angstrom": [[3.4622, 0.0000, 0.0000], [0.0000, 3.4622, 0.0000], [0.0000, 0.0000, 9.3580]], "species": ["Y", "Sc", "Sc", "Dy"], "fractional_positions": [[0.5000, 0.5000, 0.5000], [0.0000, 0.0000, 0.7523], [0.0000, 0.0000, 0.2477], [0.5000, 0.5000, 0.0000]]}

{"formula": "Dy2Y3Sc", "functional": "PBE", "state": "relaxed", "delta_e_f_mev_per_atom": 41.7, "polymorph_energy_kj_per_mol_atoms": 0.00, "e_tot_ev_per_atom": -5.780, "m_tot_mub_per_cell": 0.0, "lattice_angstrom": [[-0.5654, 6.0331, -0.5489], [-4.9848, -0.0171, 4.9464], [8.4935, 1.1215, 3.5783]], "species": ["Dy", "Dy", "Dy", "Dy", "Y", "Y", "Y", "Y", "Y", "Y", "Sc", "Sc"], "fractional_positions": [[0.5848, 0.5396, 0.3307], [0.0848, 0.7911, 0.3307], [0.9152, 0.2089, 0.6693], [0.4152, 0.4604, 0.6693], [0.2500, 0.3719, 0.0000], [0.7500, 0.6281, 0.0000], [0.0797, 0.2873, 0.3275], [0.4203, 0.9599, 0.6725], [0.5797, 0.0401, 0.3275], [0.9203, 0.7127, 0.6725], [0.7500, 0.1232, 0.0000], [0.2500, 0.8768, 0.0000]]}

{"formula": "DyY2Sc", "functional": "PBE", "state": "relaxed", "delta_e_f_mev_per_atom": 25.3, "polymorph_energy_kj_per_mol_atoms": 0.04, "e_tot_ev_per_atom": -5.940, "m_tot_mub_per_cell": 0.0, "lattice_angstrom": [[3.5226, 0.4867, 0.2864], [0.9007, 6.5208, 0.0280], [-1.7490, -3.5240, 5.2737]], "species": ["Dy", "Y", "Y", "Sc"], "fractional_positions": [[0.3687, 0.1840, 0.0371], [0.1244, 0.0874, 0.4520], [0.8809, 0.6718, 0.5504], [0.6260, 0.5928, 0.9604]]}

{"formula": "Dy7Y3Sc", "functional": "PBE", "state": "relaxed", "delta_e_f_mev_per_atom": 152.1, "polymorph_energy_kj_per_mol_atoms": 0.00, "e_tot_ev_per_atom": -5.115, "m_tot_mub_per_cell": 0.0, "lattice_angstrom": [[9.3086, -2.5322, 1.2187], [-5.5836, 7.8667, 1.2187], [1.4846, 2.1261, 12.8101]], "species": ["Dy", "Dy", "Dy", "Dy", "Dy", "Dy", "Dy", "Dy", "Dy", "Dy", "Dy", "Dy", "Dy", "Dy", "Y", "Y", "Y", "Y", "Y", "Y", "Sc", "Sc"], "fractional_positions": [[0.0873, 0.9160, 0.2496], [0.0840, 0.9127, 0.7504], [0.1195, 0.4394, 0.4727], [0.1205, 0.4406, 0.9720], [0.5594, 0.8795, 0.0280], [0.5606, 0.8805, 0.5273], [0.4984, 0.4984, 0.7497], [0.5016, 0.5016, 0.2503], [0.4406, 0.1205, 0.9720], [0.4394, 0.1195, 0.4727], [0.8795, 0.5594, 0.0280], [0.8805, 0.5606, 0.5273], [0.9160, 0.0873, 0.2496], [0.9127, 0.0840, 0.7504], [0.0005, 0.4997, 0.7496], [0.0000, 0.0000, 0.0000], [0.0000, 0.0000, 0.5000], [0.5003, 0.9995, 0.2504], [0.4997, 0.0005, 0.7496], [0.9995, 0.5003, 0.2504], [0.5000, 0.5000, 0.0000], [0.5000, 0.5000, 0.5000]]}

{"formula": "Dy5Y5Sc2", "functional": "PBE", "state": "relaxed", "delta_e_f_mev_per_atom": 39.4, "polymorph_energy_kj_per_mol_atoms": 0.00, "e_tot_ev_per_atom": -5.627, "m_tot_mub_per_cell": 0.0, "lattice_angstrom": [[4.8523, 0.0000, 1.0369], [2.1409, 7.3053, 1.8531], [0.2899, 0.6029, 10.5153]], "species": ["Dy", "Dy", "Dy", "Dy", "Dy", "Y", "Y", "Y", "Y", "Y", "Sc", "Sc"], "fractional_positions": [[0.5000, 0.5000, 0.5000], [0.3323, 0.3354, 0.0001], [0.4201, 0.9101, 0.2496], [0.5799, 0.0899, 0.7504], [0.6677, 0.6646, 0.9999], [0.8361, 0.8285, 0.4993], [0.2533, 0.7443, 0.7492], [0.7467, 0.2557, 0.2508], [0.1639, 0.1715, 0.5007], [0.0000, 0.0000, 0.0000], [0.9161, 0.4158, 0.7521], [0.0839, 0.5842, 0.2479]]}